No. 1
# PBE-GGA ZnSnSO, optimized geometry
data_ZnSnSO
_cell_length_a 4.623
_cell_length_b 4.623
_cell_length_c 7.176
_cell_angle_alpha 90.00
_cell_angle_beta 90.00
_cell_angle_gamma 90.00
_space_group_name_H-M_alt 'P 1'
_space_group_IT_number 1
loop_
_space_group_symop_operation_xyz
'x,y,z'
loop_
_atom_site_label
_atom_site_fract_x
_atom_site_fract_y
_atom_site_fract_z
_atom_site_occupancy
Zn1 0.250 0.250 0.118 1
Zn2 0.750 0.750 0.882 1
Sn1 0.250 0.250 0.667 1
Sn2 0.750 0.750 0.333 1
S1 0.250 0.750 0.000 1
S2 0.750 0.250 0.000 1
O1 0.250 0.250 0.389 1
O2 0.750 0.750 0.611 1
# space group	P4/nmm

No. 2
# PBE-GGA AlFeIrAu, optimized geometry
data_AlFeIrAu
_cell_length_a 4.377
_cell_length_b 4.377
_cell_length_c 4.377
_cell_angle_alpha 60.00
_cell_angle_beta 60.00
_cell_angle_gamma 60.00
_space_group_name_H-M_alt 'P 1'
_space_group_IT_number 1
loop_
_space_group_symop_operation_xyz
'x,y,z'
loop_
_atom_site_label
_atom_site_fract_x
_atom_site_fract_y
_atom_site_fract_z
_atom_site_occupancy
Al1 0.000 0.000 0.000 1
Fe1 0.250 0.250 0.250 1
Ir1 0.750 0.750 0.750 1
Au1 0.500 0.500 0.500 1
# spin magnetization	2.74	Bohr magnetons per cell
# space group	F-43m

No. 3
# PBE-GGA BaAgTeO, optimized geometry
data_BaAgTeO
_cell_length_a 5.307
_cell_length_b 5.307
_cell_length_c 8.848
_cell_angle_alpha 90.00
_cell_angle_beta 90.00
_cell_angle_gamma 116.19
_space_group_name_H-M_alt 'P 1'
_space_group_IT_number 1
loop_
_space_group_symop_operation_xyz
'x,y,z'
loop_
_atom_site_label
_atom_site_fract_x
_atom_site_fract_y
_atom_site_fract_z
_atom_site_occupancy
Ba1 0.006 0.994 0.500 1
Ba2 0.994 0.006 0.000 1
Ag1 0.375 0.625 0.249 1
Ag2 0.625 0.375 0.749 1
Te1 0.338 0.662 0.750 1
Te2 0.662 0.338 0.250 1
O1 0.144 0.856 0.246 1
O2 0.856 0.144 0.746 1
# space group	Cmc2_1

No. 4
# PBE-GGA Er2TaNbGe2, optimized geometry
data_Er2TaNbGe2
_cell_length_a 4.017
_cell_length_b 4.017
_cell_length_c 7.766
_cell_angle_alpha 90.00
_cell_angle_beta 90.00
_cell_angle_gamma 90.00
_space_group_name_H-M_alt 'P 1'
_space_group_IT_number 1
loop_
_space_group_symop_operation_xyz
'x,y,z'
loop_
_atom_site_label
_atom_site_fract_x
_atom_site_fract_y
_atom_site_fract_z
_atom_site_occupancy
Er1 0.000 0.500 0.149 1
Er2 0.500 0.000 0.851 1
Ta1 0.000 0.000 0.500 1
Nb1 0.500 0.500 0.500 1
Ge1 0.000 0.500 0.750 1
Ge2 0.500 0.000 0.250 1
# spin magnetization	1.06	Bohr magnetons per cell
# space group	P-4m2

No. 5
# PBE-GGA MgNpIn, optimized geometry
data_MgNpIn
_cell_length_a 5.032
_cell_length_b 5.032
_cell_length_c 5.032
_cell_angle_alpha 60.00
_cell_angle_beta 60.00
_cell_angle_gamma 60.00
_space_group_name_H-M_alt 'P 1'
_space_group_IT_number 1
loop_
_space_group_symop_operation_xyz
'x,y,z'
loop_
_atom_site_label
_atom_site_fract_x
_atom_site_fract_y
_atom_site_fract_z
_atom_site_occupancy
Mg1 0.000 0.000 0.000 1
Np1 0.500 0.500 0.500 1
In1 0.250 0.250 0.250 1
# spin magnetization	4.01	Bohr magnetons per cell
# space group	F-43m

No. 6
# PBE-GGA TbNdIn2Ni4, optimized geometry
data_TbNdIn2Ni4
_cell_length_a 4.434
_cell_length_b 4.434
_cell_length_c 8.663
_cell_angle_alpha 90.00
_cell_angle_beta 90.00
_cell_angle_gamma 120.00
_space_group_name_H-M_alt 'P 1'
_space_group_IT_number 1
loop_
_space_group_symop_operation_xyz
'x,y,z'
loop_
_atom_site_label
_atom_site_fract_x
_atom_site_fract_y
_atom_site_fract_z
_atom_site_occupancy
Tb1 0.000 0.000 0.000 1
Nd1 0.333 0.667 0.500 1
In1 0.667 0.333 0.244 1
In2 0.667 0.333 0.756 1
Ni1 0.000 0.000 0.324 1
Ni2 0.000 0.000 0.676 1
Ni3 0.333 0.667 0.162 1
Ni4 0.333 0.667 0.838 1
# spin magnetization	0.00	Bohr magnetons per cell
# space group	P-6m2

No. 7
# PBE-GGA MgGaMo2, optimized geometry
data_MgGaMo2
_cell_length_a 4.474
_cell_length_b 4.474
_cell_length_c 4.474
_cell_angle_alpha 60.00
_cell_angle_beta 60.00
_cell_angle_gamma 60.00
_space_group_name_H-M_alt 'P 1'
_space_group_IT_number 1
loop_
_space_group_symop_operation_xyz
'x,y,z'
loop_
_atom_site_label
_atom_site_fract_x
_atom_site_fract_y
_atom_site_fract_z
_atom_site_occupancy
Mg1 0.000 0.000 0.000 1
Ga1 0.750 0.750 0.750 1
Mo1 0.250 0.250 0.250 1
Mo2 0.500 0.500 0.500 1
# spin magnetization	0.00	Bohr magnetons per cell
# space group	F-43m

No. 8
# PBE-GGA GdIn3F6, optimized geometry
data_GdIn3F6
_cell_length_a 6.095
_cell_length_b 6.777
_cell_length_c 10.025
_cell_angle_alpha 90.00
_cell_angle_beta 121.49
_cell_angle_gamma 90.00
_space_group_name_H-M_alt 'P 1'
_space_group_IT_number 1
loop_
_space_group_symop_operation_xyz
'x,y,z'
loop_
_atom_site_label
_atom_site_fract_x
_atom_site_fract_y
_atom_site_fract_z
_atom_site_occupancy
Gd1 0.000 0.000 0.000 1
Gd2 0.000 0.500 0.500 1
In1 0.293 0.072 0.746 1
In2 0.293 0.428 0.246 1
In3 0.500 0.000 0.500 1
In4 0.500 0.500 0.000 1
In5 0.707 0.572 0.754 1
In6 0.707 0.928 0.254 1
F1 0.050 0.050 0.234 1
F2 0.050 0.450 0.734 1
F3 0.174 0.708 0.069 1
F4 0.174 0.792 0.569 1
F5 0.367 0.128 0.041 1
F6 0.367 0.372 0.541 1
F7 0.633 0.628 0.459 1
F8 0.633 0.872 0.959 1
F9 0.826 0.208 0.431 1
F10 0.826 0.292 0.931 1
F11 0.950 0.550 0.266 1
F12 0.950 0.950 0.766 1
# spin magnetization	0.01	Bohr magnetons per cell
# space group	P2_1/c

Total DFT energy (no corrections), respectively: -4.186, -6.109, -4.210, -7.339, -5.215, -5.022, -6.473, -4.948 eV/atom.